5
Lattice="4.203 0.000 0.000 0.000 4.203 0.000 0.000 0.000 4.203" Properties=species:S:1:pos:R:3 comment="Mo3IrF | Alexandria | PBE with a Hubbard U | relaxed" total_energy_ev_per_atom=-5.25 de_polymorph_mev_per_atom=0 spacegroup="No. 221" pbc="T T T"
Mo 0.000 0.000 2.101
Mo 0.000 2.101 0.000
Mo 2.101 0.000 0.000
Ir 2.101 2.101 2.101
F 0.000 0.000 0.000